Record 1
{
  "formula": "CaLaNd2",
  "functional": "GGA-PBE",
  "state": "optimized geometry",
  "lattice": [[4.433, 0.000, 0.000], [2.216, 3.839, 0.000], [2.216, 1.280, 8.870]],
  "species": ["Ca", "La", "Nd", "Nd"],
  "frac_coords": [[0.500, 0.500, 0.500], [0.000, 0.000, 0.000], [0.732, 0.732, 0.805], [0.268, 0.268, 0.195]],
  "crystal_system": "trigonal",
  "relative_energy_ev_per_atom": 0.485,
  "formation_energy_ev_per_atom": 0.52,
  "magnetic_moment_mub_per_fu": 0.001
}

=====

Record 2
{
  "formula": "CaLaNd5",
  "functional": "GGA-PBE",
  "state": "optimized geometry",
  "lattice": [[5.932, 0.000, 0.000], [0.000, 5.932, 0.000], [0.000, 0.000, 7.585]],
  "species": ["Ca", "La", "Nd", "Nd", "Nd", "Nd", "Nd"],
  "frac_coords": [[0.000, 0.000, 0.500], [0.500, 0.500, 0.000], [0.000, 0.500, 0.776], [0.000, 0.500, 0.224], [0.500, 0.000, 0.776], [0.500, 0.000, 0.224], [0.500, 0.500, 0.500]],
  "crystal_system": "tetragonal",
  "formation_energy_ev_per_atom": 0.29,
  "magnetic_moment_mub_per_fu": 0.000
}